## one
# DyCdNi2

An optimized crystal structure of DyCdNi2 (PBE, the Alexandria database).

Values from the calculation:
* DOS(E_F): 8.90 states/eV/cell

a = 6.4947 Å, b = 6.4947 Å, c = 6.4947 Å
α = 90.00°, β = 90.00°, γ = 90.00°
With the nearest neighbours (Å) after each atom.
Space group Fm-3m (No. 225)
Inequivalent atoms, fractional coordinates:
Dy1 0.0000 0.0000 0.0000 [4 per cell]  8 Ni 2.81
Cd1 0.0000 0.0000 0.5000 [4 per cell]  8 Ni 2.81
Ni1 0.2500 0.2500 0.2500 [8 per cell]  4 Dy 2.81, 4 Cd 2.81

## two
# DyCdNi2

An optimized crystal structure of DyCdNi2 (PBE, the Alexandria database).

Values from the calculation:
* DOS(E_F): 3.78 states/eV/cell

a = 3.3309 Å, b = 3.3309 Å, c = 6.2351 Å
α = 90.00°, β = 90.00°, γ = 90.00°
With the nearest neighbours (Å) after each atom.
Space group P4/mmm (No. 123)
Inequivalent atoms, fractional coordinates:
Dy1 0.0000 0.0000 0.0000 [1 per cell]  8 Ni 2.90, 2 Cd 3.12
Cd1 0.0000 0.0000 0.5000 [1 per cell]  8 Ni 2.75
Ni1 0.5000 0.5000 0.2708 [2 per cell]  4 Cd 2.75, 1 Ni 2.86, 4 Dy 2.90

Least stable structure: two

## one
# Dy2Cd3Ni2

An optimized crystal structure of Dy2Cd3Ni2 (PBE, the Alexandria database).

Values from the calculation:
* DOS(E_F): 6.53 states/eV/cell

a = 3.9081 Å, b = 20.5733 Å, c = 3.6626 Å
α = 90.00°, β = 90.00°, γ = 90.00°
With the nearest neighbours (Å) after each atom.
Space group Cmmm (No. 65)
Inequivalent atoms, fractional coordinates:
Dy1 0.0000 0.1733 0.0000 [4 per cell]  6 Ni 2.81-2.96
Cd1 0.0000 0.0000 0.0000 [2 per cell]  8 Cd 3.12
Cd2 0.0000 0.4218 0.5000 [4 per cell]  1 Ni 2.79, 4 Cd 3.12
Ni1 0.0000 0.2861 0.5000 [4 per cell]  2 Ni 2.46

## two
# Dy2Cd3Ni2

An optimized crystal structure of Dy2Cd3Ni2 (PBE, the Alexandria database).

Values from the calculation:
* DOS(E_F): 7.48 states/eV/cell

a = 10.0426 Å, b = 3.9125 Å, c = 7.4160 Å
α = 90.00°, β = 96.73°, γ = 90.00°
With the nearest neighbours (Å) after each atom.
Space group C2/m (No. 12)
Inequivalent atoms, fractional coordinates:
Dy1 0.1240 0.0000 0.3604 [4 per cell]  5 Ni 2.85-2.95
Cd1 0.0000 0.5000 0.0000 [2 per cell]  2 Ni 2.93, 6 Cd 3.01-3.18
Cd2 0.1892 0.0000 0.8554 [4 per cell]  2 Ni 2.70, 2 Cd 3.01
Ni1 0.0821 0.5000 0.6330 [4 per cell]  1 Ni 2.42, 2 Cd 2.70

Least stable structure: two

## one
# Dy4CdNi

An optimized crystal structure of Dy4CdNi (PBE, the Alexandria database).

Values from the calculation:
* DOS(E_F): 94.74 states/eV/cell

a = 13.5004 Å, b = 13.5004 Å, c = 13.5004 Å
α = 90.00°, β = 90.00°, γ = 90.00°
With the nearest neighbours (Å) after each atom.
Space group F-43m (No. 216)
Inequivalent atoms, fractional coordinates:
Dy1 0.0000 0.0000 0.1861 [24 per cell]  2 Cd 3.23, 2 Ni 3.46, 10 Dy 3.46-3.58
Dy2 0.0609 0.2500 0.2500 [24 per cell]  2 Ni 2.79
Dy3 0.0984 0.0984 0.5984 [16 per cell]  3 Ni 2.79
Cd1 0.1688 0.1688 0.8312 [16 per cell]  3 Cd 3.10, 9 Dy 3.23-3.47
Ni1 0.1075 0.1075 0.3925 [16 per cell]  6 Dy 2.79

## two
# Dy4CdNi

An optimized crystal structure of Dy4CdNi (PBE, the Alexandria database).

Values from the calculation:
* DOS(E_F): 17.32 states/eV/cell

a = 7.0384 Å, b = 7.1680 Å, c = 6.9157 Å
α = 90.00°, β = 95.80°, γ = 90.00°
With the nearest neighbours (Å) after each atom.
Space group P2_1/c (No. 14)
Inequivalent atoms, fractional coordinates:
Dy1 0.1437 0.1702 0.1913 [4 per cell]  2 Ni 2.74-2.84
Dy2 0.3200 0.6444 0.1048 [4 per cell]  1 Ni 2.52
Cd1 0.5000 0.0000 0.0000 [2 per cell]  6 Dy 2.97-3.19
Ni1 0.0000 0.0000 0.5000 [2 per cell]  4 Dy 2.52-2.74

Least stable structure: two

## one
# DyYCdNi

An optimized crystal structure of DyYCdNi (PBE, the Alexandria database).

Values from the calculation:
* DOS(E_F): 2.43 states/eV/cell

a = 3.4589 Å, b = 3.4589 Å, c = 7.6308 Å
α = 90.00°, β = 90.00°, γ = 90.00°
With the nearest neighbours (Å) after each atom.
Space group P4mm (No. 99)
Inequivalent atoms, fractional coordinates:
Dy1 0.0000 0.0000 0.0000 [1 per cell]  4 Ni 2.91, 1 Y 3.24
Y1 0.0000 0.0000 0.5750 [1 per cell]  4 Ni 2.96, 1 Dy 3.24, 4 Cd 3.29
Cd1 0.5000 0.5000 0.2865 [1 per cell]  4 Dy 3.28, 4 Y 3.29, 4 Cd 3.46
Ni1 0.5000 0.5000 0.7924 [1 per cell]  4 Dy 2.91, 4 Y 2.96

## two
# DyYCdNi

An optimized crystal structure of DyYCdNi (PBE, the Alexandria database).

Values from the calculation:
* DOS(E_F): 11.23 states/eV/cell

a = 7.1543 Å, b = 7.1543 Å, c = 7.1543 Å
α = 90.00°, β = 90.00°, γ = 90.00°
With the nearest neighbours (Å) after each atom.
Space group F-43m (No. 216)
Inequivalent atoms, fractional coordinates:
Dy1 0.0000 0.0000 0.0000 [4 per cell]  4 Cd 3.10, 4 Ni 3.10
Y1 0.0000 0.0000 0.5000 [4 per cell]  4 Cd 3.10, 4 Ni 3.10
Cd1 0.2500 0.2500 0.7500 [4 per cell]  4 Dy 3.10, 4 Y 3.10
Ni1 0.2500 0.2500 0.2500 [4 per cell]  4 Dy 3.10, 4 Y 3.10

Least stable structure: two